Compound: NaZrTiBr2
Source: Alexandria via LeMat-Bulk
Functional: GGA-PBE
Structure: optimized geometry

Unit cell a=5.0524 b=5.0524 c=6.0262 alpha=90.00 beta=90.00 gamma=90.00
Sites, in units of the cell vectors:
1 Na 0.0000 0.0000 0.0000
2 Zr 0.0000 0.0000 0.5000
3 Ti 0.5000 0.5000 0.5000
4 Br 0.0000 0.5000 0.0000
5 Br 0.5000 0.0000 0.0000

Results
Formation energy from raw total energies (kJ per mole of atoms): 71
Size of the total moment (μB per formula unit): 4.8
DFT total energy (eV per atom): -3.481

---

Compound: NaTl2Br4
Source: Alexandria via LeMat-Bulk
Functional: GGA-PBE
Structure: optimized geometry

Unit cell a=5.2404 b=5.2404 c=22.2421 alpha=90.00 beta=90.00 gamma=90.00
Sites, in units of the cell vectors:
1 Na 0.0000 0.0000 0.0000
2 Na 0.5000 0.5000 0.5000
3 Tl 0.0000 0.0000 0.1789
4 Tl 0.0000 0.0000 0.8211
5 Tl 0.5000 0.5000 0.3211
6 Tl 0.5000 0.5000 0.6789
7 Br 0.0000 0.0000 0.3121
8 Br 0.0000 0.0000 0.6879
9 Br 0.0000 0.5000 0.0000
10 Br 0.0000 0.5000 0.5000
11 Br 0.5000 0.0000 0.0000
12 Br 0.5000 0.0000 0.5000
13 Br 0.5000 0.5000 0.1879
14 Br 0.5000 0.5000 0.8121

Results
Offset from the most stable computed form (eV/atom): 0.179
Formation energy from raw total energies (kJ per mole of atoms): -65
Size of the total moment (μB per formula unit): 0.8
DFT total energy (eV per atom): -2.495

---

Compound: NaTlBr4
Source: Alexandria via LeMat-Bulk
Functional: GGA-PBE
Structure: optimized geometry

Unit cell a=9.2196 b=9.2196 c=7.2249 alpha=104.51 beta=104.51 gamma=125.64
Sites, in units of the cell vectors:
1 Na 0.0778 0.9222 0.7500
2 Na 0.9222 0.0778 0.2500
3 Tl 0.4195 0.5805 0.2500
4 Tl 0.5805 0.4195 0.7500
5 Br 0.0778 0.4542 0.2522
6 Br 0.2230 0.3205 0.7595
7 Br 0.3205 0.2230 0.2595
8 Br 0.4542 0.0778 0.7522
9 Br 0.5458 0.9222 0.2478
10 Br 0.6795 0.7770 0.7405
11 Br 0.7770 0.6795 0.2405
12 Br 0.9222 0.5458 0.7478

Results
Offset from the most stable computed form (eV/atom): 0.025
Formation energy from raw total energies (kJ per mole of atoms): -77
Size of the total moment (μB per formula unit): 0.0
DFT total energy (eV per atom): -2.526

---

Compound: Na2TlBr2
Source: Alexandria via LeMat-Bulk
Functional: GGA-PBE
Structure: optimized geometry

Unit cell a=5.4271 b=5.4271 c=11.9023 alpha=90.00 beta=90.00 gamma=90.00
Sites, in units of the cell vectors:
1 Na 0.0000 0.0000 0.1646
2 Na 0.0000 0.0000 0.8354
3 Na 0.5000 0.5000 0.3354
4 Na 0.5000 0.5000 0.6646
5 Tl 0.0000 0.0000 0.5000
6 Tl 0.5000 0.5000 0.0000
7 Br 0.0000 0.5000 0.2500
8 Br 0.0000 0.5000 0.7500
9 Br 0.5000 0.0000 0.2500
10 Br 0.5000 0.0000 0.7500

Results
Offset from the most stable computed form (eV/atom): 0.104
Formation energy from raw total energies (kJ per mole of atoms): -84
Size of the total moment (μB per formula unit): 0.7
DFT total energy (eV per atom): -2.540

---

Compound: Na6Tl3Br14
Source: Alexandria via LeMat-Bulk
Functional: GGA-PBE
Structure: optimized geometry

Unit cell a=11.2077 b=11.2077 c=7.3152 alpha=90.00 beta=90.00 gamma=120.00
Sites, in units of the cell vectors:
1 Na 0.1174 0.7555 0.0000
2 Na 0.2445 0.3619 0.0000
3 Na 0.4523 0.0852 0.5116
4 Na 0.6329 0.5477 0.5116
5 Na 0.6381 0.8826 0.0000
6 Na 0.9148 0.3671 0.5116
7 Tl 0.0000 0.0000 0.4076
8 Tl 0.3333 0.6667 0.4265
9 Tl 0.6667 0.3333 0.9412
10 Br 0.0000 0.0000 0.7612
11 Br 0.1041 0.5209 0.1879
12 Br 0.1852 0.4280 0.6364
13 Br 0.2428 0.8148 0.6364
14 Br 0.2456 0.1401 0.2519
15 Br 0.4168 0.8959 0.1879
16 Br 0.4283 0.2982 0.7533
17 Br 0.4791 0.5832 0.1879
18 Br 0.5720 0.7572 0.6364
19 Br 0.6667 0.3333 0.3348
20 Br 0.7018 0.1301 0.7533
21 Br 0.8599 0.1054 0.2519
22 Br 0.8699 0.5717 0.7533
23 Br 0.8946 0.7544 0.2519

Results
Formation energy from raw total energies (kJ per mole of atoms): -98
Size of the total moment (μB per formula unit): 0.8
DFT total energy (eV per atom): -2.686

---

Compound: NaTlBr2
Source: Alexandria via LeMat-Bulk
Functional: GGA-PBE
Structure: optimized geometry

Unit cell a=4.5364 b=4.5364 c=27.4182 alpha=90.00 beta=90.00 gamma=120.00
Sites, in units of the cell vectors:
1 Na 0.0000 0.0000 0.0000
2 Na 0.3333 0.6667 0.6667
3 Na 0.6667 0.3333 0.3333
4 Tl 0.0000 0.0000 0.5000
5 Tl 0.3333 0.6667 0.1667
6 Tl 0.6667 0.3333 0.8333
7 Br 0.0000 0.0000 0.3909
8 Br 0.0000 0.0000 0.6091
9 Br 0.3333 0.6667 0.0575
10 Br 0.3333 0.6667 0.2758
11 Br 0.6667 0.3333 0.7242
12 Br 0.6667 0.3333 0.9425

Results
Offset from the most stable computed form (eV/atom): 0.230
Formation energy from raw total energies (kJ per mole of atoms): -93
Size of the total moment (μB per formula unit): 0.0
DFT total energy (eV per atom): -2.726

---

Compound: NaTl4Br5
Source: Alexandria via LeMat-Bulk
Functional: GGA-PBE
Structure: optimized geometry

Unit cell a=16.8394 b=16.8394 c=16.8394 alpha=163.94 beta=163.94 gamma=22.78
Sites, in units of the cell vectors:
1 Na 0.0000 0.0000 0.0000
2 Tl 0.1977 0.1977 0.0000
3 Tl 0.4033 0.4033 0.0000
4 Tl 0.5967 0.5967 0.0000
5 Tl 0.8023 0.8023 0.0000
6 Br 0.0892 0.0892 0.0000
7 Br 0.2973 0.2973 0.0000
8 Br 0.5000 0.5000 0.0000
9 Br 0.7027 0.7027 0.0000
10 Br 0.9108 0.9108 0.0000

Results
Offset from the most stable computed form (eV/atom): 0.002
Formation energy from raw total energies (kJ per mole of atoms): -95
Size of the total moment (μB per formula unit): 0.0
DFT total energy (eV per atom): -2.903

---

Compound: NaTl3Br6
Source: Alexandria via LeMat-Bulk
Functional: GGA-PBE
Structure: optimized geometry

Unit cell a=7.5976 b=8.1660 c=13.2697 alpha=90.00 beta=123.82 gamma=90.00
Sites, in units of the cell vectors:
1 Na 0.0000 0.0000 0.0000
2 Na 0.0000 0.5000 0.5000
3 Tl 0.2168 0.0859 0.7483
4 Tl 0.2168 0.4141 0.2483
5 Tl 0.5000 0.0000 0.5000
6 Tl 0.5000 0.5000 0.0000
7 Tl 0.7832 0.5859 0.7517
8 Tl 0.7832 0.9141 0.2517
9 Br 0.1484 0.1822 0.4532
10 Br 0.1484 0.3178 0.9532
11 Br 0.2699 0.7062 0.4473
12 Br 0.2699 0.7938 0.9473
13 Br 0.3659 0.0261 0.2564
14 Br 0.3659 0.4739 0.7564
15 Br 0.6341 0.5261 0.2436
16 Br 0.6341 0.9739 0.7436
17 Br 0.7301 0.2062 0.0527
18 Br 0.7301 0.2938 0.5527
19 Br 0.8516 0.6822 0.0468
20 Br 0.8516 0.8178 0.5468

Results
Formation energy from raw total energies (kJ per mole of atoms): -81
Size of the total moment (μB per formula unit): 0.0
DFT total energy (eV per atom): -2.686

---

Compound: NaTlBr2
Source: Alexandria via LeMat-Bulk
Functional: GGA-PBE
Structure: optimized geometry

Unit cell a=4.4663 b=4.4663 c=22.6813 alpha=90.00 beta=90.00 gamma=120.00
Sites, in units of the cell vectors:
1 Na 0.0000 0.0000 0.0000
2 Na 0.3333 0.6667 0.6667
3 Na 0.6667 0.3333 0.3333
4 Tl 0.0000 0.0000 0.5000
5 Tl 0.3333 0.6667 0.1667
6 Tl 0.6667 0.3333 0.8333
7 Br 0.0000 0.0000 0.2610
8 Br 0.0000 0.0000 0.7390
9 Br 0.3333 0.6667 0.4057
10 Br 0.3333 0.6667 0.9276
11 Br 0.6667 0.3333 0.0724
12 Br 0.6667 0.3333 0.5943

Results
Offset from the most stable computed form (eV/atom): 0.000
Formation energy from raw total energies (kJ per mole of atoms): -116
Size of the total moment (μB per formula unit): 0.0
DFT total energy (eV per atom): -2.956

---

Compound: NaTl2Br3
Source: Alexandria via LeMat-Bulk
Functional: GGA-PBE
Structure: optimized geometry

Unit cell a=4.5064 b=6.5730 c=14.0615 alpha=90.00 beta=90.00 gamma=90.00
Sites, in units of the cell vectors:
1 Na 0.0000 0.0000 0.0000
2 Na 0.5000 0.5000 0.5000
3 Tl 0.0000 0.0000 0.3305
4 Tl 0.0000 0.0000 0.6695
5 Tl 0.5000 0.5000 0.1695
6 Tl 0.5000 0.5000 0.8305
7 Br 0.0000 0.5000 0.0000
8 Br 0.0000 0.5000 0.3559
9 Br 0.0000 0.5000 0.6441
10 Br 0.5000 0.0000 0.1441
11 Br 0.5000 0.0000 0.5000
12 Br 0.5000 0.0000 0.8559

Results
Formation energy from raw total energies (kJ per mole of atoms): -104
Size of the total moment (μB per formula unit): 0.0
DFT total energy (eV per atom): -2.926

---

Compound: Na3TlBr6
Source: Alexandria via LeMat-Bulk
Functional: GGA-PBE
Structure: optimized geometry

Unit cell a=7.9345 b=7.9345 c=7.9345 alpha=60.00 beta=60.00 gamma=60.00
Sites, in units of the cell vectors:
1 Na 0.0000 0.0000 0.0000
2 Na 0.2500 0.2500 0.2500
3 Na 0.7500 0.7500 0.7500
4 Tl 0.5000 0.5000 0.5000
5 Br 0.2542 0.2542 0.7458
6 Br 0.2542 0.7458 0.2542
7 Br 0.2542 0.7458 0.7458
8 Br 0.7458 0.2542 0.2542
9 Br 0.7458 0.2542 0.7458
10 Br 0.7458 0.7458 0.2542

Results
Offset from the most stable computed form (eV/atom): 0.148
Formation energy from raw total energies (kJ per mole of atoms): -91
Size of the total moment (μB per formula unit): 0.0
DFT total energy (eV per atom): -2.584

---

Compound: NaTlBr3
Source: Alexandria via LeMat-Bulk
Functional: GGA-PBE
Structure: optimized geometry

Unit cell a=10.8152 b=10.8152 c=7.4848 alpha=90.00 beta=90.00 gamma=157.00
Sites, in units of the cell vectors:
1 Na 0.1585 0.8415 0.5000
2 Na 0.8415 0.1585 0.0000
3 Tl 0.3470 0.6530 0.4977
4 Tl 0.6530 0.3470 0.9977
5 Br 0.0823 0.9177 0.1725
6 Br 0.2520 0.7480 0.8161
7 Br 0.4106 0.5894 0.1674
8 Br 0.5894 0.4106 0.6674
9 Br 0.7480 0.2520 0.3161
10 Br 0.9177 0.0823 0.6725

Results
Offset from the most stable computed form (eV/atom): 0.046
Formation energy from raw total energies (kJ per mole of atoms): -88
Size of the total moment (μB per formula unit): 0.0
DFT total energy (eV per atom): -2.648